The following is a DFT calculation (PBE) of a geometry-optimized Tb5DyEr structure.

Total magnetization ... 0.00 μB/f.u.
E_tot ... -4.428 eV per atom
Offset from the most stable computed form ... 0 meV/atom

Lattice parameters (Å, degrees): 6.7319 6.7319 12.2081 108.06 108.06 59.70
With the nearest neighbours (Å) after each atom.
Element x y z (fractional)
Tb1 0.0843 0.9157 0.7500  2 Tb 2.96, 1 Dy 2.98
Tb2 0.0846 0.3520 0.7438  2 Tb 2.96-3.27, 1 Er 3.22
Tb3 0.1585 0.6811 0.9982  3 Tb 3.27-3.63, 1 Dy 3.27
Tb4 0.3189 0.8415 0.5018  3 Tb 3.27-3.63, 1 Dy 3.27
Tb5 0.3520 0.0846 0.2438  2 Tb 2.96-3.27, 1 Er 3.22
Tb6 0.6480 0.9154 0.7562  2 Tb 2.96-3.27, 1 Er 3.22
Tb7 0.6811 0.1585 0.4982  3 Tb 3.27-3.63, 1 Dy 3.27
Tb8 0.8415 0.3189 0.0018  3 Tb 3.27-3.63, 1 Dy 3.27
Tb9 0.9154 0.6480 0.2562  2 Tb 2.96-3.27, 1 Er 3.22
Tb10 0.9157 0.0843 0.2500  2 Tb 2.96, 1 Dy 2.98
Dy1 0.4711 0.5289 0.2500  3 Tb 2.98-3.27
Dy2 0.5289 0.4711 0.7500  3 Tb 2.98-3.27
Er1 0.0000 0.5000 0.5000  4 Tb 3.22-3.56
Er2 0.5000 0.0000 0.0000  4 Tb 3.22-3.56